Computed, not measured: a geometry-optimized ThPaTeSe structure at the PBE level of DFT.

**Calculated total energy**: -27.32 eV for the cell shown
**Formation energy from raw total energies**: -0.9442 eV per atom
**Space-group type**: F-43m
**D(E_F)**: 1.4222 states/eV/atom

Structure (CIF):
```
data_ThPaTeSe
_cell_length_a 5.243
_cell_length_b 5.243
_cell_length_c 5.243
_cell_angle_alpha 60.00
_cell_angle_beta 60.00
_cell_angle_gamma 60.00
_space_group_name_H-M_alt 'P 1'
_space_group_IT_number 1
loop_
_space_group_symop_operation_xyz
'x,y,z'
loop_
_atom_site_label
_atom_site_type_symbol
_atom_site_fract_x
_atom_site_fract_y
_atom_site_fract_z
_atom_site_occupancy
Se1 Se 0.250 0.250 0.250 1
Th1 Th 0.500 0.500 0.500 1
Pa1 Pa 0.000 0.000 0.000 1
Te1 Te 0.750 0.750 0.750 1
```